Entry 1:
DFT (PBE) results for a geometry-optimized KMgTc2 structure.

The structure in POSCAR format:
```
KMgTc2
1.0
2.727 0.000 0.000
0.000 4.648 0.000
0.000 0.000 7.288
K Mg Tc
1 1 2
Direct
0.000 0.000 0.000
0.000 0.000 0.500
0.500 0.500 0.347
0.500 0.500 0.653
```

Properties
Formation energy in eV/atom: 0.76
Energy in eV/cell: -20.38

Entry 2:
DFT (PBE) results for a geometry-optimized KMgTc2 structure.

The structure in POSCAR format:
```
KMgTc2
1.0
4.463 0.000 0.000
0.000 4.463 0.000
0.000 0.000 20.424
K Mg Tc
4 4 8
Direct
0.000 0.000 0.000
0.000 0.500 0.250
0.500 0.000 0.750
0.500 0.500 0.500
0.000 0.000 0.500
0.000 0.500 0.750
0.500 0.000 0.250
0.500 0.500 0.000
0.076 0.250 0.625
0.250 0.576 0.875
0.250 0.924 0.375
0.424 0.250 0.125
0.576 0.750 0.125
0.750 0.076 0.375
0.750 0.424 0.875
0.924 0.750 0.625
```

Properties
Formation energy in eV/atom: 1.30
Energy in eV/cell: -72.96

Entry 3:
DFT (PBE) results for a geometry-optimized KMgTc2 structure.

The structure in POSCAR format:
```
KMgTc2
1.0
3.532 0.000 0.000
0.000 3.532 0.000
0.000 0.000 7.593
K Mg Tc
1 1 2
Direct
0.000 0.000 0.000
0.000 0.000 0.500
0.500 0.500 0.356
0.500 0.500 0.644
```

Properties
Formation energy in eV/atom: 0.92
Energy in eV/cell: -19.76

Entry 4:
DFT (PBE) results for a geometry-optimized KMgTc2 structure.

The structure in POSCAR format:
```
KMgTc2
1.0
2.824 0.000 0.000
-1.412 2.445 0.000
0.000 0.000 31.928
K Mg Tc
3 3 6
Direct
0.000 0.000 0.000
0.333 0.667 0.667
0.667 0.333 0.333
0.000 0.000 0.500
0.333 0.667 0.167
0.667 0.333 0.833
0.000 0.000 0.240
0.000 0.000 0.760
0.333 0.667 0.427
0.333 0.667 0.906
0.667 0.333 0.094
0.667 0.333 0.573
```

Properties
Formation energy in eV/atom: 0.87
Energy in eV/cell: -59.82

Entry 5:
DFT (PBE) results for a geometry-optimized KMgTc2 structure.

The structure in POSCAR format:
```
KMgTc2
1.0
3.065 0.000 0.000
0.000 4.763 0.000
0.000 0.000 10.704
K Mg Tc
2 2 4
Direct
0.000 0.000 0.000
0.500 0.500 0.000
0.000 0.500 0.315
0.500 0.000 0.315
0.000 0.000 0.536
0.000 0.500 0.727
0.500 0.000 0.727
0.500 0.500 0.536
```

Properties
Formation energy in eV/atom: 0.68
Energy in eV/cell: -41.39

Entry 6:
DFT (PBE) results for a geometry-optimized KMgTc3 structure.

The structure in POSCAR format:
```
KMgTc3
1.0
4.869 0.000 0.000
0.000 4.869 0.000
0.000 0.000 4.869
K Mg Tc
1 1 3
Direct
0.000 0.000 0.000
0.500 0.500 0.500
0.000 0.500 0.500
0.500 0.000 0.500
0.500 0.500 0.000
```

Properties
Polymorph energy (0 for the lowest one) in meV/atom: 0
Formation energy in eV/atom: 2.18
Energy in eV/cell: -22.90

Entry 7:
DFT (PBE) results for a geometry-optimized KMgTc2 structure.

The structure in POSCAR format:
```
KMgTc2
1.0
2.717 0.000 0.000
0.000 4.658 0.000
-0.645 0.000 7.270
K Mg Tc
1 1 2
Direct
0.000 0.000 0.000
0.000 0.000 0.500
0.463 0.500 0.346
0.537 0.500 0.654
```

Properties
Formation energy in eV/atom: 0.77
Energy in eV/cell: -20.35

Entry 8:
DFT (PBE) results for a geometry-optimized KMg3Tc structure.

The structure in POSCAR format:
```
KMg3Tc
1.0
5.623 0.000 0.000
0.000 5.623 0.000
0.000 0.000 5.623
K Mg Tc
1 3 1
Direct
0.000 0.000 0.000
0.000 0.000 0.500
0.000 0.500 0.000
0.500 0.000 0.000
0.500 0.500 0.500
```

Properties
Polymorph energy (0 for the lowest one) in meV/atom: 1346
Formation energy in eV/atom: 1.88
Energy in eV/cell: -6.86

Entry 9:
DFT (PBE) results for a geometry-optimized KMgTc2 structure.

The structure in POSCAR format:
```
KMgTc2
1.0
3.199 0.000 0.000
0.000 4.469 0.000
0.000 0.000 5.189
K Mg Tc
1 1 2
Direct
0.000 0.000 0.000
0.500 0.500 0.000
0.000 0.500 0.500
0.500 0.000 0.500
```

Properties
Formation energy in eV/atom: 1.18
Energy in eV/cell: -18.71

Entry 10:
DFT (PBE) results for a geometry-optimized KMgTc2 structure.

The structure in POSCAR format:
```
KMgTc2
1.0
3.137 0.000 0.000
0.000 3.137 0.000
0.000 0.000 9.097
K Mg Tc
1 1 2
Direct
0.000 0.000 0.000
0.500 0.500 0.365
0.000 0.000 0.564
0.500 0.500 0.699
```

Properties
Formation energy in eV/atom: 0.43
Energy in eV/cell: -21.69

Entry 11:
DFT (PBE) results for a geometry-optimized KMgTc2 structure.

The structure in POSCAR format:
```
KMgTc2
1.0
6.630 0.000 0.000
0.000 6.630 0.000
0.000 0.000 6.630
K Mg Tc
4 4 8
Direct
0.000 0.000 0.000
0.000 0.500 0.500
0.500 0.000 0.500
0.500 0.500 0.000
0.250 0.250 0.750
0.250 0.750 0.250
0.750 0.250 0.250
0.750 0.750 0.750
0.000 0.000 0.500
0.000 0.500 0.000
0.250 0.250 0.250
0.250 0.750 0.750
0.500 0.000 0.000
0.500 0.500 0.500
0.750 0.250 0.750
0.750 0.750 0.250
```

Properties
Formation energy in eV/atom: 1.13
Energy in eV/cell: -75.60

Entry 12:
DFT (PBE) results for a geometry-optimized K3MgTc structure.

The structure in POSCAR format:
```
K3MgTc
1.0
6.451 0.000 0.000
0.000 6.451 0.000
0.000 0.000 6.451
K Mg Tc
3 1 1
Direct
0.000 0.000 0.500
0.000 0.500 0.000
0.500 0.000 0.000
0.500 0.500 0.500
0.000 0.000 0.000
```

Properties
Polymorph energy (0 for the lowest one) in meV/atom: 0
Formation energy in eV/atom: 1.22
Energy in eV/cell: -9.15

Q: Which formula does entry 1 have?
A: KMgTc2

Q: Among the records above, which one has the lowest formation energy?
A: number 10